VASP calculation (PBE+U) on a relaxed structure of Zn3P2Pb3WO14.

Properties
Total energy, eV/atom: -6.264
Total magnetic moment, μB per formula unit: 0.000

a b c (Å): 8.5447 8.5447 5.2359
angles (deg): 90.00 90.00 120.00
Last column: nearest neighbours and their distance in Å.
Space group P321 (No. 150)
Asymmetric unit:
1 Zn 0.0000 0.2542 0.0000  4 O 1.95-2.01
2 P 0.3333 0.6667 0.9444  4 O 1.53-1.57
3 Pb 0.0000 0.5968 0.5000  2 O 2.39
4 W 0.0000 0.0000 0.5000  6 O 1.96
5 O 0.0919 0.8763 0.2856  1 Zn 1.95, 1 W 1.96
6 O 0.1917 0.4791 0.8279  1 P 1.57
7 O 0.3333 0.6667 0.2374  1 P 1.53